No. 1
K3Cu2Br2Cl4 | the Alexandria database | PBE-GGA | relaxed; D(E_F) = 6.4 states/eV per cell; symmetry = No. 139; size of the total moment = 0.0 μB/cell; formation energy (no corrections) = -1306 kJ/mol of formula units
1.0
-2.377 2.377 13.299
2.377 -2.377 13.299
2.377 2.377 -13.299
K Cu Br Cl
3 2 2 4
Direct
0.000 0.000 0.000
0.176 0.176 0.000
0.824 0.824 0.000
0.401 0.401 0.000
0.599 0.599 0.000
0.305 0.305 0.000
0.695 0.695 0.000
0.081 0.581 0.500
0.419 0.919 0.500
0.581 0.081 0.500
0.919 0.419 0.500

=====

No. 2
TlAu3S | the Alexandria database | PBE-GGA | relaxed; D(E_F) = 3.3 states/eV per cell; symmetry = No. 221; size of the total moment = 0.0 μB/cell; offset from the most stable computed form = 0 meV/atom; formation energy (no corrections) = 127 kJ/mol of formula units
1.0
4.948 0.000 0.000
0.000 4.948 0.000
0.000 0.000 4.948
Tl Au S
1 3 1
Direct
0.000 0.000 0.000
0.000 0.500 0.500
0.500 0.000 0.500
0.500 0.500 0.000
0.500 0.500 0.500

=====

No. 3
Na2SmCl5 | the Alexandria database | PBE-GGA | relaxed; D(E_F) = 0.0 states/eV per cell; symmetry = No. 63; size of the total moment = 0.0 μB/cell; formation energy (no corrections) = -1562 kJ/mol of formula units
1.0
2.689 -6.920 0.000
2.689 6.920 0.000
0.000 0.000 13.859
Na Sm Cl
4 2 10
Direct
0.145 0.855 0.552
0.145 0.855 0.948
0.855 0.145 0.052
0.855 0.145 0.448
0.186 0.814 0.250
0.814 0.186 0.750
0.044 0.956 0.122
0.044 0.956 0.378
0.269 0.731 0.750
0.304 0.696 0.090
0.304 0.696 0.410
0.696 0.304 0.590
0.696 0.304 0.910
0.731 0.269 0.250
0.956 0.044 0.622
0.956 0.044 0.878